# CaUSnO6, optimized geometry, DFT PBE
data_CaUSnO6
_space_group_name_H-M_alt 'P -3 1 c'
_space_group_IT_number 163
_space_group_name_Hall '-P 3 2c'
_cell_length_a 5.5504
_cell_length_b 5.5504
_cell_length_c 10.0537
_cell_angle_alpha 90.00
_cell_angle_beta 90.00
_cell_angle_gamma 120.00
loop_
_atom_site_label
_atom_site_fract_x
_atom_site_fract_y
_atom_site_fract_z
Ca1 0.0000 0.0000 0.0000
U1 0.3333 0.6667 0.2500
Sn1 0.3333 0.6667 0.7500
O1 0.0005 0.3575 0.6393
# **Spin magnetization**: 0.00 μB/f.u.
# **Total energy**: -140.511 eV per cell
# **Uncorrected formation energy**: -2.579 eV per atom
# **Crystal system**: trigonal